Record 1
CdTe2OsSe after structural relaxation, computed with PBE-GGA. Values from VASP.

The structure in Quantum ESPRESSO input format:
```
&SYSTEM
  ibrav = 0, nat = 5, ntyp = 4
/
ATOMIC_SPECIES
Te 127.60 Te.upf
Se 78.96 Se.upf
Cd 112.41 Cd.upf
Os 190.23 Os.upf
CELL_PARAMETERS angstrom
-1.456 -4.658 1.495
3.893 -0.071 3.570
-3.128 2.086 3.453
ATOMIC_POSITIONS crystal
Te 0.000 0.000 0.500
Te 0.500 0.000 0.000
Se 0.500 0.500 0.500
Cd 0.000 0.500 0.000
Os 0.000 0.000 0.000
```

Its density is 7.7 g cm⁻³. Its space group is No. 123. The value obtained for the final energy is -3.797 eV per atom.

Record 2
Er4Al3In after structural relaxation, computed with PBE-GGA. Values from VASP.

The structure in Quantum ESPRESSO input format:
```
&SYSTEM
  ibrav = 0, nat = 8, ntyp = 3
/
ATOMIC_SPECIES
Er 167.26 Er.upf
Al 26.98 Al.upf
In 114.82 In.upf
CELL_PARAMETERS angstrom
3.695 0.000 0.000
0.000 4.524 0.000
0.000 0.000 11.716
ATOMIC_POSITIONS crystal
Er 0.000 0.000 0.163
Al 0.000 0.500 0.569
In 0.500 0.500 0.070
Er 0.000 0.500 0.838
Er 0.500 0.500 0.350
Al 0.000 0.000 0.432
Er 0.500 0.000 0.654
Al 0.500 0.000 0.924
```

Its density is 7.3 g cm⁻³. Its space group is No. 25. The value obtained for the final energy is -4.406 eV per atom. Its distance to the lowest polymorph of the same formula is 0.20 eV/f.u. For the formation energy from the elements, the calculation gives -0.3785 eV/atom.

Record 3
Al2PbI after structural relaxation, computed with PBE-GGA. Values from VASP.

The structure in Quantum ESPRESSO input format:
```
&SYSTEM
  ibrav = 0, nat = 8, ntyp = 3
/
ATOMIC_SPECIES
Al 26.98 Al.upf
I 126.90 I.upf
Pb 207.20 Pb.upf
CELL_PARAMETERS angstrom
-6.355 -1.612 -0.749
0.783 -5.036 4.192
-4.490 0.894 7.107
ATOMIC_POSITIONS crystal
Al 0.090 0.625 0.250
Al 0.660 0.125 0.250
I 0.500 0.500 0.000
Al 0.875 0.910 0.750
Pb 0.000 0.000 0.000
I 0.250 0.750 0.500
Pb 0.750 0.250 0.500
Al 0.375 0.340 0.750
```

Its density is 4.2 g cm⁻³. Its space group is No. 122. The value obtained for the final energy is -2.823 eV per atom. Its distance to the lowest polymorph of the same formula is 0.00 eV/f.u.